Entry 1:
# KTlAs2

A relaxed KTlAs2 crystal (PBE-GGA, the Alexandria database).

Computed properties:
energy of formation: 0.15 eV per atom
M_tot: 0.00 μB/f.u.
E: -3.0372 eV/atom
space group: I-4m2 (119)

Cell: 5.6751 5.6751 5.6751 Å, 130.12 130.12 73.21°
With the nearest neighbours (Å) after each atom.
Fractional positions:
As  0.0000  0.0000  0.0000  4 As 3.30, 4 Tl 3.30, 4 K 3.38
As  0.2500  0.7500  0.5000  4 As 3.30, 4 K 3.30, 4 Tl 3.38
K  0.5000  0.5000  0.0000  4 Tl 3.30, 8 As 3.30-3.38
Tl  0.7500  0.2500  0.5000  4 K 3.30, 8 As 3.30-3.38



Entry 2:
# ErPaAg

A relaxed ErPaAg crystal (PBE-GGA, the Alexandria database).

Computed properties:
energy of formation: 0.09 eV per atom
M_tot: 0.00 μB/f.u.
E: -5.5455 eV/atom
space group: I4mm (107)

Cell: 3.2254 3.2254 7.3828 Å, 102.62 102.62 90.00°
With the nearest neighbours (Å) after each atom.
Fractional positions:
Pa  0.0051  0.0051  0.0101  4 Pa 3.23, 4 Ag 3.26, 4 Er 3.42
Ag  0.6712  0.6712  0.3425  4 Er 3.13, 4 Ag 3.23, 4 Pa 3.26
Er  0.3237  0.3237  0.6474  4 Ag 3.13, 4 Er 3.23, 4 Pa 3.42



Number 1: ΔE to the lowest computed polymorph 393 meV/atom. Number 2: ΔE to the lowest computed polymorph 32 meV/atom.